Compound: CsZnCd
Source: Alexandria
Functional: PBE
Structure: relaxed

ΔE_f	0.015	eV per atom
mass density	4.65	g cm⁻³

Cell: 4.6349 7.5138 7.6847 Å, 61.90 107.55 90.00°
With the nearest neighbours (Å) after each atom.
Sites, in units of the cell vectors:
1 Zn 0.2831 0.4072 0.5661  2 Zn 2.63, 3 Cd 2.83-2.84
2 Cd 0.1013 0.7984 0.2026  3 Zn 2.83-2.84, 1 Cd 3.02
3 Cs 0.3913 0.7978 0.7827  5 Cd 3.85-4.25, 5 Zn 3.97-4.26, 1 Cs 4.01
4 Cd 0.8987 0.2016 0.7974  3 Zn 2.83-2.84, 1 Cd 3.02
5 Cs 0.6087 0.2022 0.2173  5 Cd 3.85-4.25, 5 Zn 3.97-4.26, 1 Cs 4.01
6 Zn 0.7169 0.5928 0.4339  2 Zn 2.63, 3 Cd 2.83-2.84

Compound: TiZnRe2Au
Source: Alexandria
Functional: PBE
Structure: relaxed

ΔE_f	1.467	eV per atom
mass density	12.49	g cm⁻³

Cell: 4.5132 4.4571 4.5132 Å, 90.00 90.00 90.00°
With the nearest neighbours (Å) after each atom.
Sites, in units of the cell vectors:
1 Ti 0.0000 0.5000 0.0000  2 Zn 2.23
2 Zn 0.0000 0.0000 0.0000  2 Ti 2.23, 4 Re 2.26
3 Au 0.5000 0.5000 0.5000  8 Re 3.17, 4 Ti 3.19
4 Re 0.5000 0.0000 0.0000  2 Zn 2.26
5 Re 0.0000 0.0000 0.5000  2 Zn 2.26

Compound: CeDyMnC
Source: Alexandria
Functional: PBE
Structure: relaxed

ΔE_f	0.159	eV per atom
mass density	8.15	g cm⁻³

Cell: 3.6934 3.6934 11.0412 Å, 90.00 90.00 90.00°
With the nearest neighbours (Å) after each atom.
Sites, in units of the cell vectors:
1 C 0.7500 0.7500 0.9336  4 Mn 1.99
2 Mn 0.7500 0.2500 0.0000  4 C 1.99
3 Ce 0.7500 0.2500 0.5000  4 Ce 2.61
4 Dy 0.2500 0.2500 0.7979  4 Mn 2.90, 5 C 2.96-3.01
5 Ce 0.2500 0.7500 0.5000  4 Ce 2.61
6 C 0.2500 0.2500 0.0664  4 Mn 1.99
7 Mn 0.2500 0.7500 0.0000  4 C 1.99
8 Dy 0.7500 0.7500 0.2021  4 Mn 2.90, 5 C 2.96-3.01

Compound: K2TmAlTe4
Source: Alexandria
Functional: PBE
Structure: relaxed

mass density	4.62	g cm⁻³
total DFT energy (no corrections)	-30.90	eV/f.u.

Cell: 7.3587 7.2031 7.2031 Å, 74.88 59.28 59.28°
With the nearest neighbours (Å) after each atom.
Sites, in units of the cell vectors:
1 Te 0.5514 0.0000 0.3424  1 Al 2.68, 1 Tm 2.94
2 Te 0.1062 0.3424 0.0000  1 Al 2.68, 1 Tm 2.94
3 K 0.5000 0.5000 0.5000  8 Te 3.64-3.83, 2 K 3.68
4 Te 0.4486 0.6576 0.0000  1 Al 2.68, 1 Tm 2.94
5 Al 0.5000 0.0000 0.0000  4 Te 2.68
6 Tm 0.0000 0.0000 0.0000  4 Te 2.94
7 K 0.0000 0.5000 0.5000  8 Te 3.64-3.83, 2 K 3.68
8 Te 0.8938 0.0000 0.6576  1 Al 2.68, 1 Tm 2.94

Compound: PmEr3Cd4
Source: Alexandria
Functional: PBE
Structure: relaxed

ΔE_f	-0.110	eV per atom
mass density	8.09	g cm⁻³

Cell: 3.4723 7.5848 9.3787 Å, 111.65 100.67 90.00°
With the nearest neighbours (Å) after each atom.
Sites, in units of the cell vectors:
1 Cd 0.6258 0.8065 0.2515  1 Cd 2.95, 5 Er 3.09-3.12, 1 Pm 3.18
2 Er 0.7966 0.8301 0.5933  6 Cd 3.09-3.28
3 Er 0.0000 0.5000 0.0000  8 Cd 3.12-3.33, 2 Er 3.47
4 Cd 0.6420 0.4336 0.2840  1 Cd 2.95, 3 Er 3.16-3.28
5 Cd 0.3742 0.1935 0.7485  1 Cd 2.95, 5 Er 3.09-3.12, 1 Pm 3.18
6 Pm 0.5000 0.0000 0.0000  4 Cd 3.18-3.35, 2 Pm 3.47
7 Cd 0.3580 0.5664 0.7160  1 Cd 2.95, 3 Er 3.16-3.28
8 Er 0.2034 0.1699 0.4067  6 Cd 3.09-3.28

Compound: CsKTl2Cl
Source: Alexandria
Functional: PBE
Structure: relaxed

mass density	4.28	g cm⁻³
total DFT energy (no corrections)	-10.50	eV/f.u.

Cell: 6.4026 5.8389 6.4026 Å, 90.00 90.00 90.00°
With the nearest neighbours (Å) after each atom.
Sites, in units of the cell vectors:
1 Cl 0.0000 0.0000 0.0000  2 K 2.92, 4 Tl 3.20
2 Tl 0.5000 0.0000 0.0000  2 Cl 3.20
3 K 0.0000 0.5000 0.0000  2 Cl 2.92
4 Tl 0.0000 0.0000 0.5000  2 Cl 3.20
5 Cs 0.5000 0.5000 0.5000  8 Tl 4.33, 4 K 4.53